Record 1
CdSiI2 | GGA-PBE | optimized geometry

For the mass density, the calculation gives 5.71 g/cm3. The excess energy over the best structure of this formula in the dataset is 209.5 meV per atom. The calculation puts the total energy at -1.931 eV/atom. As for the uncorrected formation energy: 0.4286 eV per atom. The total moment comes out at 0.0 μB/f.u. The volume is 28.673 A^3/atom.

It has space group Fm-3m (No. 225), with a = 7.713 Å, b = 7.713 Å, c = 7.713 Å, α = 90.00°, β = 90.00° and γ = 90.00°. The inequivalent atoms are Cd at (0.000, 0.000, 0.000), Si at (0.000, 0.000, 0.500) and I at (0.250, 0.250, 0.250).


Record 2
Cd3SiI | GGA-PBE | optimized geometry

For the mass density, the calculation gives 4.01 g/cm3. The excess energy over the best structure of this formula in the dataset is 1039.0 meV per atom. The calculation puts the total energy at -0.871 eV/atom. As for the uncorrected formation energy: 1.0723 eV per atom. The total moment comes out at 1.1 μB/f.u. The volume is 40.740 A^3/atom.

It has space group Pm-3m (No. 221), with a = 5.884 Å, b = 5.884 Å, c = 5.884 Å, α = 90.00°, β = 90.00° and γ = 90.00°. The inequivalent atoms are Cd at (0.000, 0.000, 0.500), Si at (0.500, 0.500, 0.500) and I at (0.000, 0.000, 0.000).


Record 3
CdSi2I | GGA-PBE | optimized geometry

For the mass density, the calculation gives 3.88 g/cm3. The excess energy over the best structure of this formula in the dataset is 0.0 meV per atom. The calculation puts the total energy at -2.526 eV/atom. As for the uncorrected formation energy: 0.8021 eV per atom. The total moment comes out at 0.0 μB/f.u. The volume is 31.592 A^3/atom.

It has space group I-42d (No. 122), with a = 6.152 Å, b = 6.152 Å, c = 13.357 Å, α = 90.00°, β = 90.00° and γ = 90.00°. The inequivalent atoms are Cd at (0.000, 0.000, 0.000), Si at (0.202, 0.250, 0.125) and I at (0.000, 0.000, 0.500).


Record 4
CdSi2I | GGA-PBE | optimized geometry

For the mass density, the calculation gives 5.45 g/cm3. The excess energy over the best structure of this formula in the dataset is 39.1 meV per atom. The calculation puts the total energy at -2.487 eV/atom. As for the uncorrected formation energy: 0.8413 eV per atom. The total moment comes out at 0.0 μB/f.u. The volume is 22.491 A^3/atom.

It has space group Fm-3m (No. 225), with a = 7.113 Å, b = 7.113 Å, c = 7.113 Å, α = 90.00°, β = 90.00° and γ = 90.00°. The inequivalent atoms are Cd at (0.000, 0.000, 0.000), Si at (0.250, 0.250, 0.250) and I at (0.000, 0.000, 0.500).


Record 5
Cd3SiI | GGA-PBE | optimized geometry

For the mass density, the calculation gives 5.57 g/cm3. The excess energy over the best structure of this formula in the dataset is 0.0 meV per atom. The calculation puts the total energy at -1.910 eV/atom. As for the uncorrected formation energy: 0.0334 eV per atom. The total moment comes out at 0.0 μB/f.u. The volume is 29.375 A^3/atom.

It has space group Pm-3m (No. 221), with a = 5.276 Å, b = 5.276 Å, c = 5.276 Å, α = 90.00°, β = 90.00° and γ = 90.00°. The inequivalent atoms are Cd at (0.000, 0.000, 0.500), Si at (0.000, 0.000, 0.000) and I at (0.500, 0.500, 0.500).


Record 6
CdSi3I | GGA-PBE | optimized geometry

For the mass density, the calculation gives 3.94 g/cm3. The excess energy over the best structure of this formula in the dataset is 0.0 meV per atom. The calculation puts the total energy at -2.537 eV/atom. As for the uncorrected formation energy: 1.2097 eV per atom. The total moment comes out at 0.0 μB/f.u. The volume is 27.301 A^3/atom.

It has space group Pm-3m (No. 221), with a = 5.149 Å, b = 5.149 Å, c = 5.149 Å, α = 90.00°, β = 90.00° and γ = 90.00°. The inequivalent atoms are Cd at (0.000, 0.000, 0.000), Si at (0.000, 0.000, 0.500) and I at (0.500, 0.500, 0.500).


Record 7
Cd2SiI | GGA-PBE | optimized geometry

For the mass density, the calculation gives 6.11 g/cm3. The excess energy over the best structure of this formula in the dataset is 459.2 meV per atom. The calculation puts the total energy at -1.609 eV/atom. As for the uncorrected formation energy: 0.5914 eV per atom. The total moment comes out at 0.0 μB/f.u. The volume is 25.807 A^3/atom.

It has space group Fm-3m (No. 225), with a = 7.447 Å, b = 7.447 Å, c = 7.447 Å, α = 90.00°, β = 90.00° and γ = 90.00°. The inequivalent atoms are Cd at (0.250, 0.250, 0.250), Si at (0.000, 0.000, 0.000) and I at (0.000, 0.000, 0.500).


Record 8
VCdSiI2 | GGA-PBE | optimized geometry

For the mass density, the calculation gives 4.57 g/cm3. The calculation puts the total energy at -2.650 eV/atom. As for the uncorrected formation energy: 1.0612 eV per atom. The total moment comes out at 0.7 μB/f.u. The volume is 32.343 A^3/atom.

It has space group P4/mmm (No. 123), with a = 5.673 Å, b = 5.673 Å, c = 5.025 Å, α = 90.00°, β = 90.00° and γ = 90.00°. The inequivalent atoms are V at (0.000, 0.000, 0.000), Cd at (0.500, 0.500, 0.000), Si at (0.500, 0.500, 0.500) and I at (0.000, 0.500, 0.500).


Record 9
Y2CdSiI | GGA-PBE | optimized geometry

For the mass density, the calculation gives 4.85 g/cm3. The calculation puts the total energy at -4.312 eV/atom. As for the uncorrected formation energy: -0.1486 eV per atom. The total moment comes out at 0.0 μB/f.u. The volume is 30.493 A^3/atom.

It has space group P4/mmm (No. 123), with a = 5.559 Å, b = 5.559 Å, c = 4.933 Å, α = 90.00°, β = 90.00° and γ = 90.00°. The inequivalent atoms are Y at (0.000, 0.500, 0.000), Cd at (0.000, 0.000, 0.500), Si at (0.000, 0.000, 0.000) and I at (0.500, 0.500, 0.500).


Record 10
Sm7CdI12 | GGA-PBE | optimized geometry

For the mass density, the calculation gives 5.63 g/cm3. The calculation puts the total energy at -3.786 eV/atom. As for the uncorrected formation energy: -1.1583 eV per atom. The total moment comes out at 0.0 μB/f.u. The volume is 39.668 A^3/atom.

It has space group R-3 (No. 148, hexagonal axes), with a = 16.0994 Å, b = 16.0994 Å, c = 10.6032 Å, α = 90.00°, β = 90.00° and γ = 120.00°. The inequivalent atoms are Sm at (0.0000, 0.0000, 0.0000), Sm at (0.0484, 0.8804, 0.3378), Cd at (0.0000, 0.0000, 0.5000), I at (0.0243, 0.4360, 0.1653) and I at (0.0528, 0.8668, 0.8422).


Record 11
SmCd2I6 | GGA-PBE | optimized geometry

For the mass density, the calculation gives 4.33 g/cm3. The calculation puts the total energy at -2.567 eV/atom. As for the uncorrected formation energy: -0.8055 eV per atom. The total moment comes out at 1.0 μB/f.u. The volume is 48.422 A^3/atom.

It has space group R3 (No. 146, hexagonal axes), with a = 8.0345 Å, b = 8.0345 Å, c = 23.3860 Å, α = 90.00°, β = 90.00° and γ = 120.00°. The inequivalent atoms are Sm at (0.0000, 0.0000, 0.0000), Cd at (0.0000, 0.0000, 0.2720), Cd at (0.0000, 0.0000, 0.3937), I at (0.0304, 0.3617, 0.7501) and I at (0.0308, 0.6710, 0.5838).


Record 12
Sm6CdI8 | GGA-PBE | optimized geometry

For the mass density, the calculation gives 5.84 g/cm3. The calculation puts the total energy at -3.779 eV/atom. As for the uncorrected formation energy: -1.0034 eV per atom. The total moment comes out at 0.0 μB/f.u. The volume is 38.506 A^3/atom.

It has space group R-3 (No. 148, hexagonal axes), with a = 7.5927 Å, b = 7.5927 Å, c = 34.7068 Å, α = 90.00°, β = 90.00° and γ = 120.00°. The inequivalent atoms are Sm at (0.9998, 0.3162, 0.4486), Cd at (0.0000, 0.0000, 0.5000), I at (0.0000, 0.0000, 0.1667) and I at (0.9998, 0.3403, 0.6079).


Record 13
SmCdI | GGA-PBE | optimized geometry

For the mass density, the calculation gives 6.05 g/cm3. The calculation puts the total energy at -3.119 eV/atom. As for the uncorrected formation energy: -0.7243 eV per atom. The total moment comes out at 0.0 μB/f.u. The volume is 35.673 A^3/atom.

It has space group C2/m (No. 12), with a = 7.758 Å, b = 4.481 Å, c = 12.312 Å, α = 90.00°, β = 90.22° and γ = 90.00°. The inequivalent atoms are Sm at (0.001, 0.000, 0.187), Cd at (0.166, 0.500, 0.964) and I at (0.169, 0.500, 0.344).


Record 14
Cd2SnI | GGA-PBE | optimized geometry

For the mass density, the calculation gives 6.63 g/cm3. The excess energy over the best structure of this formula in the dataset is 283.1 meV per atom. The calculation puts the total energy at -1.615 eV/atom. As for the uncorrected formation energy: 0.2304 eV per atom. The total moment comes out at 0.0 μB/f.u. The volume is 29.453 A^3/atom.

It has space group Fm-3m (No. 225), with a = 7.782 Å, b = 7.782 Å, c = 7.782 Å, α = 90.00°, β = 90.00° and γ = 90.00°. The inequivalent atoms are Cd at (0.250, 0.250, 0.250), Sn at (0.000, 0.000, 0.000) and I at (0.000, 0.000, 0.500).


Record 15
CdSnI | GGA-PBE | optimized geometry

For the mass density, the calculation gives 5.37 g/cm3. The calculation puts the total energy at -2.339 eV/atom. As for the uncorrected formation energy: -0.1829 eV per atom. The total moment comes out at 0.0 μB/f.u. The volume is 36.871 A^3/atom.

It has space group P-1 (No. 2), with a = 4.284 Å, b = 4.474 Å, c = 11.710 Å, α = 90.16°, β = 99.66° and γ = 90.09°. The inequivalent atoms are Cd at (0.107, 0.255, 0.194), Sn at (0.248, 0.249, 0.958) and I at (0.316, 0.747, 0.642).


Record 16
Cd2SnI | GGA-PBE | optimized geometry

For the mass density, the calculation gives 6.33 g/cm3. The excess energy over the best structure of this formula in the dataset is 0.0 meV per atom. The calculation puts the total energy at -1.899 eV/atom. As for the uncorrected formation energy: -0.0527 eV per atom. The total moment comes out at 0.0 μB/f.u. The volume is 30.858 A^3/atom.

It has space group R3m (No. 160, hexagonal axes), with a = 4.1690 Å, b = 4.1690 Å, c = 24.6008 Å, α = 90.00°, β = 90.00° and γ = 120.00°. The inequivalent atoms are Cd at (0.0000, 0.0000, 0.0000), Cd at (0.0000, 0.0000, 0.1836), Sn at (0.0000, 0.0000, 0.5917) and I at (0.0000, 0.0000, 0.4207).


Record 17
CdSn2I | GGA-PBE | optimized geometry

For the mass density, the calculation gives 6.54 g/cm3. The excess energy over the best structure of this formula in the dataset is 0.0 meV per atom. The calculation puts the total energy at -2.496 eV/atom. As for the uncorrected formation energy: 0.1218 eV per atom. The total moment comes out at 0.0 μB/f.u. The volume is 30.282 A^3/atom.

It has space group R-3m (No. 166, hexagonal axes), with a = 3.5145 Å, b = 3.5145 Å, c = 33.9720 Å, α = 90.00°, β = 90.00° and γ = 120.00°. The inequivalent atoms are Cd at (0.0000, 0.0000, 0.0000), Sn at (0.0000, 0.0000, 0.4085) and I at (0.0000, 0.0000, 0.5000).


Record 18
Cd2SnI6 | GGA-PBE | optimized geometry

For the mass density, the calculation gives 4.55 g/cm3. The excess energy over the best structure of this formula in the dataset is 0.0 meV per atom. The calculation puts the total energy at -2.223 eV/atom. As for the uncorrected formation energy: -0.5411 eV per atom. The total moment comes out at 0.0 μB/f.u. The volume is 44.771 A^3/atom.

It has space group C2/c (No. 15), with a = 15.023 Å, b = 13.735 Å, c = 7.955 Å, α = 90.00°, β = 100.91° and γ = 90.00°. The inequivalent atoms are Cd at (0.188, 0.082, 0.327), Sn at (0.000, 0.393, 0.250), I at (0.119, 0.411, 0.633), I at (0.125, 0.088, 0.639) and I at (0.125, 0.246, 0.121).


Record 19
CdSn2I | GGA-PBE | optimized geometry

For the mass density, the calculation gives 6.78 g/cm3. The excess energy over the best structure of this formula in the dataset is 86.8 meV per atom. The calculation puts the total energy at -2.409 eV/atom. As for the uncorrected formation energy: 0.2086 eV per atom. The total moment comes out at 0.0 μB/f.u. The volume is 29.197 A^3/atom.

It has space group Fm-3m (No. 225), with a = 7.759 Å, b = 7.759 Å, c = 7.759 Å, α = 90.00°, β = 90.00° and γ = 90.00°. The inequivalent atoms are Cd at (0.000, 0.000, 0.000), Sn at (0.250, 0.250, 0.250) and I at (0.000, 0.000, 0.500).


Record 20
Cd3SnI8 | GGA-PBE | optimized geometry

For the mass density, the calculation gives 4.88 g/cm3. The calculation puts the total energy at -2.142 eV/atom. As for the uncorrected formation energy: -0.5462 eV per atom. The total moment comes out at 0.0 μB/f.u. The volume is 41.706 A^3/atom.

It has space group C2/m (No. 12), with a = 15.220 Å, b = 8.787 Å, c = 9.003 Å, α = 90.00°, β = 123.77° and γ = 90.00°. The inequivalent atoms are Cd at (0.000, 0.000, 0.000), Cd at (0.250, 0.250, 0.000), Sn at (0.000, 0.500, 0.000), I at (0.010, 0.239, 0.764), I at (0.241, 0.000, 0.227) and I at (0.248, 0.000, 0.764).


Record 21
Cd3SnI | GGA-PBE | optimized geometry

For the mass density, the calculation gives 5.40 g/cm3. The excess energy over the best structure of this formula in the dataset is 0.0 meV per atom. The calculation puts the total energy at -1.672 eV/atom. As for the uncorrected formation energy: -0.0127 eV per atom. The total moment comes out at 0.0 μB/f.u. The volume is 35.869 A^3/atom.

It has space group Pm-3m (No. 221), with a = 5.639 Å, b = 5.639 Å, c = 5.639 Å, α = 90.00°, β = 90.00° and γ = 90.00°. The inequivalent atoms are Cd at (0.000, 0.000, 0.500), Sn at (0.000, 0.000, 0.000) and I at (0.500, 0.500, 0.500).


Record 22
CdSn2I | GGA-PBE | optimized geometry

For the mass density, the calculation gives 4.76 g/cm3. The excess energy over the best structure of this formula in the dataset is 162.1 meV per atom. The calculation puts the total energy at -2.334 eV/atom. As for the uncorrected formation energy: 0.2839 eV per atom. The total moment comes out at 0.0 μB/f.u. The volume is 41.561 A^3/atom.

It has space group I-42d (No. 122), with a = 6.680 Å, b = 6.680 Å, c = 14.900 Å, α = 90.00°, β = 90.00° and γ = 90.00°. The inequivalent atoms are Cd at (0.000, 0.000, 0.000), Sn at (0.198, 0.250, 0.125) and I at (0.000, 0.000, 0.500).